1.
Here is crystalline Er2PaRhN4 at its relaxed geometry from Alexandria via LeMat-Bulk. Energies are from PBE.

formation energy without anion corrections: -1.182 eV/atom

```
16
Lattice="3.3630 0.0000 0.0000 -1.6815 5.7190 0.0000 0.0000 0.0000 11.5015" Properties=species:S:1:pos:R:3 pbc="T T T"
Er 0.0000 4.2622 6.3542
Er 1.6815 1.4567 5.1472
Er 1.6815 1.4567 0.6035
Er 0.0000 4.2622 10.8980
Pa 1.6815 4.3855 2.8754
Pa 0.0000 1.3335 8.6261
N 0.0000 0.0000 0.0000
N 0.0000 3.2647 4.2497
N 1.6815 2.4542 7.2518
N 0.0000 3.2647 1.5010
N 0.0000 5.3801 8.6261
N 1.6815 2.4542 10.0004
N 1.6815 0.3388 2.8754
N 0.0000 0.0000 5.7507
Rh 0.0000 1.6403 2.8754
Rh 1.6815 4.0787 8.6261
```

2.
Here is crystalline Li2ScCoSe at its relaxed geometry from Alexandria via LeMat-Bulk. Energies are from PBE.

formation energy without anion corrections: -0.011 eV/atom

```
5
Lattice="4.4971 0.0000 0.0000 0.0000 4.4056 0.0000 0.0000 0.0000 4.4971" Properties=species:S:1:pos:R:3 pbc="T T T"
Li 0.0000 0.0000 2.2486
Li 2.2486 0.0000 0.0000
Se 0.0000 0.0000 0.0000
Co 0.0000 2.2028 0.0000
Sc 2.2486 2.2028 2.2486
```

What volume values result from the calculations? In sequence: 13.8, 17.8 Å³ per atom.